No. 1
The following is a PBE-GGA calculation of Li2BeSnS4 after structural relaxation, from the Alexandria database.

Unit cell a=6.4742 b=6.4742 c=6.4742 alpha=128.73 beta=128.73 gamma=75.44
Fractional positions:
Li 0.0000 0.0000 0.0000
Li 0.7500 0.2500 0.5000
Be 0.2500 0.7500 0.5000
Sn 0.5000 0.5000 0.0000
S 0.1378 0.6364 0.0487
S 0.3636 0.4123 0.5014
S 0.5877 0.0891 0.9513
S 0.9109 0.8622 0.4986

Results
**D(E_F)**: 0.00 states/eV/f.u.
**Total DFT energy (no corrections)**: -35.7 eV/cell



No. 2
The following is a PBE-GGA calculation of La4Pr4Y5 after structural relaxation, from the Alexandria database.

Unit cell a=9.7055 b=9.7055 c=9.7055 alpha=94.13 beta=94.13 gamma=148.87
Fractional positions:
La 0.1538 0.7705 0.9243
La 0.2295 0.1538 0.3832
La 0.7705 0.8462 0.6168
La 0.8462 0.2295 0.0757
Pr 0.0799 0.3854 0.4654
Pr 0.3854 0.9201 0.3055
Pr 0.6146 0.0799 0.6945
Pr 0.9201 0.6146 0.5346
Y 0.0000 0.0000 0.0000
Y 0.3106 0.5379 0.8485
Y 0.4621 0.3106 0.7728
Y 0.5379 0.6894 0.2272
Y 0.6894 0.4621 0.1515

Results
**D(E_F)**: 21.61 states/eV/f.u.
**Total DFT energy (no corrections)**: -70.9 eV/cell
**Formation energy from the elements**: 0.022 eV/atom



No. 3
The following is a PBE-GGA calculation of YSc3Tc after structural relaxation, from the Alexandria database.

Unit cell a=4.9953 b=6.1624 c=7.8758 alpha=90.00 beta=90.00 gamma=90.00
Fractional positions:
Y 0.2500 0.2500 0.0483
Y 0.7500 0.7500 0.9517
Sc 0.2500 0.5126 0.6474
Sc 0.2500 0.7500 0.2774
Sc 0.2500 0.9874 0.6474
Sc 0.7500 0.0126 0.3526
Sc 0.7500 0.2500 0.7226
Sc 0.7500 0.4874 0.3526
Tc 0.2500 0.2500 0.3820
Tc 0.7500 0.7500 0.6180

Results
**D(E_F)**: 5.98 states/eV/f.u.
**Total DFT energy (no corrections)**: -71.9 eV/cell
**Formation energy from the elements**: -0.023 eV/atom



No. 4
The following is a PBE-GGA calculation of Os4RhW after structural relaxation, from the Alexandria database.

Unit cell a=5.0943 b=5.0943 c=5.0943 alpha=60.00 beta=60.00 gamma=60.00
Fractional positions:
Os 0.1244 0.1244 0.1244
Os 0.1244 0.1244 0.6267
Os 0.1244 0.6267 0.1244
Os 0.6267 0.1244 0.1244
Rh 0.7500 0.7500 0.7500
W 0.5000 0.5000 0.5000

Results
**D(E_F)**: 10.39 states/eV/f.u.
**Total DFT energy (no corrections)**: -61.9 eV/cell
**Formation energy from the elements**: 0.553 eV/atom



No. 5
The following is a PBE-GGA calculation of Al2SnHgI8 after structural relaxation, from the Alexandria database.

Unit cell a=7.5572 b=7.5572 c=11.8746 alpha=98.31 beta=98.31 gamma=68.53
Fractional positions:
Al 0.1121 0.1121 0.3087
Al 0.8879 0.8879 0.6913
Sn 0.5000 0.5000 0.5000
Hg 0.5000 0.5000 0.0000
I 0.2053 0.2053 0.1383
I 0.2237 0.7404 0.2971
I 0.2414 0.2414 0.5045
I 0.2596 0.7763 0.7029
I 0.7404 0.2237 0.2971
I 0.7586 0.7586 0.4955
I 0.7763 0.2596 0.7029
I 0.7947 0.7947 0.8617

Results
**D(E_F)**: 0.00 states/eV/f.u.
**Total DFT energy (no corrections)**: -30.7 eV/cell



No. 6
The following is a PBE-GGA calculation of TbErRhAu after structural relaxation, from the Alexandria database.

Unit cell a=4.9656 b=4.9656 c=4.9656 alpha=60.00 beta=60.00 gamma=60.00
Fractional positions:
Tb 0.0000 0.0000 0.0000
Er 0.5000 0.5000 0.5000
Rh 0.7500 0.7500 0.7500
Au 0.2500 0.2500 0.2500

Results
**D(E_F)**: 3.53 states/eV/f.u.
**Total DFT energy (no corrections)**: -23.2 eV/cell
**Formation energy from the elements**: -0.840 eV/atom



No. 7
The following is a PBE-GGA calculation of Na3PaC4O12 after structural relaxation, from the Alexandria database.

Unit cell a=6.4776 b=6.4776 c=6.4776 alpha=100.96 beta=100.96 gamma=100.96
Fractional positions:
Na 0.0000 0.5149 0.4851
Na 0.4851 0.0000 0.5149
Na 0.5149 0.4851 0.0000
Pa 0.0000 0.0000 0.0000
C 0.0088 0.5000 0.9912
C 0.5000 0.5000 0.5000
C 0.5000 0.9912 0.0088
C 0.9912 0.0088 0.5000
O 0.0272 0.6479 0.8746
O 0.1157 0.8843 0.5000
O 0.1254 0.3521 0.9728
O 0.3521 0.9728 0.1254
O 0.3714 0.6286 0.5000
O 0.5000 0.1157 0.8843
O 0.5000 0.3714 0.6286
O 0.6286 0.5000 0.3714
O 0.6479 0.8746 0.0272
O 0.8746 0.0272 0.6479
O 0.8843 0.5000 0.1157
O 0.9728 0.1254 0.3521

Results
**D(E_F)**: 6.53 states/eV/f.u.
**Total DFT energy (no corrections)**: -145.2 eV/cell



No. 8
The following is a PBE-GGA calculation of CePr2DySe4 after structural relaxation, from the Alexandria database.

Unit cell a=7.2955 b=4.1658 c=7.3029 alpha=90.00 beta=108.98 gamma=90.00
Fractional positions:
Ce 0.0000 0.0000 0.0000
Pr 0.0000 0.5000 0.5000
Pr 0.5000 0.0000 0.5000
Dy 0.5000 0.5000 0.0000
Se 0.2521 0.5000 0.2404
Se 0.2597 0.0000 0.7637
Se 0.7403 0.0000 0.2363
Se 0.7479 0.5000 0.7596

Results
**D(E_F)**: 8.71 states/eV/f.u.
**Total DFT energy (no corrections)**: -48.6 eV/cell



- The highest total DFT energy (no corrections) belongs to which entry?
  TbErRhAu